# 1
Density functional theory data (PBE) for crystalline TbDy2PaCo2 at its relaxed geometry.

a = 6.859 Å, b = 12.575 Å, c = 6.726 Å
α = 90.00°, β = 90.00°, γ = 90.00°
Space group Ibam (No. 72)
Inequivalent atoms, fractional coordinates:
1 Tb 0.000 0.000 0.250 [4 per cell]
2 Dy 0.200 0.298 0.000 [8 per cell]
3 Pa 0.000 0.500 0.250 [4 per cell]
4 Co 0.205 0.411 0.500 [8 per cell]

**ΔH_f (0 K)**: -17.8 kJ/mol of atoms
**Final energy**: -38.649 eV/f.u.

# 2
Density functional theory data (PBE) for crystalline Li4Ga2Cu3 at its relaxed geometry.

a = 9.262 Å, b = 4.211 Å, c = 7.700 Å
α = 90.00°, β = 126.11°, γ = 90.00°
Space group C2/m (No. 12)
Inequivalent atoms, fractional coordinates:
1 Li 0.166 0.000 0.152 [4 per cell]
2 Li 0.207 0.500 0.373 [4 per cell]
3 Ga 0.058 0.000 0.722 [4 per cell]
4 Cu 0.000 0.500 0.500 [2 per cell]
5 Cu 0.111 0.500 0.940 [4 per cell]

**ΔH_f (0 K)**: -18.9 kJ/mol of atoms
**Final energy**: -27.760 eV/f.u.

# 3
Density functional theory data (PBE) for crystalline Tb2Pm3Dy6Ho at its relaxed geometry.

a = 6.189 Å, b = 10.713 Å, c = 11.814 Å
α = 90.00°, β = 100.01°, γ = 90.00°
Space group C2/m (No. 12)
Inequivalent atoms, fractional coordinates:
1 Tb 0.000 0.167 0.000 [4 per cell]
2 Pm 0.000 0.000 0.500 [2 per cell]
3 Pm 0.000 0.333 0.500 [4 per cell]
4 Dy 0.249 0.333 0.247 [8 per cell]
5 Dy 0.250 0.000 0.247 [4 per cell]
6 Ho 0.000 0.500 0.000 [2 per cell]

**ΔH_f (0 K)**: 1.5 kJ/mol of atoms
**Final energy**: -55.518 eV/f.u.

# 4
Density functional theory data (PBE) for crystalline Tb4CeNd2 at its relaxed geometry.

a = 5.495 Å, b = 5.495 Å, c = 17.058 Å
α = 90.00°, β = 90.00°, γ = 90.00°
Space group I4/mmm (No. 139)
Inequivalent atoms, fractional coordinates:
1 Tb 0.000 0.000 0.172 [4 per cell]
2 Tb 0.000 0.500 0.000 [4 per cell]
3 Ce 0.000 0.000 0.000 [2 per cell]
4 Nd 0.000 0.000 0.376 [4 per cell]

**ΔH_f (0 K)**: 54.2 kJ/mol of atoms
**Final energy**: -30.057 eV/f.u.

# 5
Density functional theory data (PBE) for crystalline PuTcGe at its relaxed geometry.

a = 5.553 Å, b = 5.776 Å, c = 8.108 Å
α = 90.00°, β = 111.58°, γ = 90.00°
Space group P2_1/c (No. 14)
Inequivalent atoms, fractional coordinates:
1 Pu 0.210 0.111 0.386 [4 per cell]
2 Tc 0.206 0.583 0.526 [4 per cell]
3 Ge 0.376 0.622 0.277 [4 per cell]

**ΔH_f (0 K)**: -20.4 kJ/mol of atoms
**Final energy**: -29.950 eV/f.u.

# 6
Density functional theory data (PBE) for crystalline Nb6SiGe2 at its relaxed geometry.

a = 8.008 Å, b = 8.282 Å, c = 4.635 Å
α = 90.00°, β = 90.00°, γ = 90.00°
Space group Pnnm (No. 58)
Inequivalent atoms, fractional coordinates:
1 Nb 0.005 0.171 0.000 [4 per cell]
2 Nb 0.161 0.579 0.500 [4 per cell]
3 Nb 0.172 0.920 0.500 [4 per cell]
4 Si 0.000 0.500 0.000 [2 per cell]
5 Ge 0.172 0.245 0.500 [4 per cell]

**Uncorrected formation energy**: -2.7 eV/f.u.
**Final energy**: -77.794 eV/f.u.

# 7
Density functional theory data (PBE) for crystalline ZrScCl2 at its relaxed geometry.

a = 6.005 Å, b = 6.005 Å, c = 10.951 Å
α = 90.00°, β = 90.00°, γ = 90.00°
Space group I-42d (No. 122)
Inequivalent atoms, fractional coordinates:
1 Zr 0.000 0.000 0.000 [4 per cell]
2 Sc 0.000 0.000 0.500 [4 per cell]
3 Cl 0.234 0.250 0.625 [8 per cell]

**Uncorrected formation energy**: -1.9 eV/f.u.
**Final energy**: -20.427 eV/f.u.

# 8
Density functional theory data (PBE) for crystalline YZr2P at its relaxed geometry.

a = 3.489 Å, b = 3.489 Å, c = 7.109 Å
α = 90.00°, β = 90.00°, γ = 90.00°
Space group P4/mmm (No. 123)
Inequivalent atoms, fractional coordinates:
1 Y 0.000 0.000 0.000 [1 per cell]
2 Zr 0.500 0.500 0.306 [2 per cell]
3 P 0.000 0.000 0.500 [1 per cell]

**ΔH_f (0 K)**: -46.5 kJ/mol of atoms
**Final energy**: -30.898 eV/f.u.

> Which value of final energy does entry 5 give?

-29.950 eV/f.u.

> What is the final energy in the sixth record?

-77.794 eV/f.u.